[1]
# Li4Si2Os (GGA-PBE, optimized geometry)
# calculated volume = 207.9 Å³ per cell
# E_tot = -50.44 eV/cell
# M_tot = 0.0 μB/f.u.
# density = 4.4 g/cm³
data_Li4Si2Os
_cell_length_a 4.5737
_cell_length_b 10.1810
_cell_length_c 4.4654
_cell_angle_alpha 90.00
_cell_angle_beta 90.00
_cell_angle_gamma 90.00
_space_group_name_H-M_alt 'C m m m'
_space_group_IT_number 65
_space_group_name_Hall '-C 2 2'
loop_
_atom_site_label
_atom_site_fract_x
_atom_site_fract_y
_atom_site_fract_z
Li1 0.0000 0.0000 0.0000
Li2 0.0000 0.2443 0.5000
Li3 0.0000 0.5000 0.5000
Si1 0.0000 0.3820 0.0000
Os1 0.0000 0.0000 0.5000

---

[2]
# LiSiOs (GGA-PBE, optimized geometry)
# calculated volume = 178.5 Å³ per cell
# E_tot = -72.03 eV/cell
# M_tot = 0.0 μB/f.u.
# density = 8.4 g/cm³
# E above lowest polymorph = 0.76 eV/f.u.
data_LiSiOs
_cell_length_a 5.6308
_cell_length_b 5.6308
_cell_length_c 5.6308
_cell_angle_alpha 90.00
_cell_angle_beta 90.00
_cell_angle_gamma 90.00
_space_group_name_H-M_alt 'F -4 3 m'
_space_group_IT_number 216
_space_group_name_Hall 'F -4 2 3'
loop_
_atom_site_label
_atom_site_fract_x
_atom_site_fract_y
_atom_site_fract_z
Li1 0.0000 0.0000 0.0000
Si1 0.0000 0.0000 0.5000
Os1 0.2500 0.2500 0.2500

---

[3]
# LiSi5Os3 (GGA-PBE, optimized geometry)
# calculated volume = 153.6 Å³ per cell
# E_tot = -60.93 eV/cell
# M_tot = 0.4 μB/f.u.
# density = 7.8 g/cm³
data_LiSi5Os3
_cell_length_a 5.4190
_cell_length_b 5.4190
_cell_length_c 6.0380
_cell_angle_alpha 90.00
_cell_angle_beta 90.00
_cell_angle_gamma 120.00
_space_group_name_H-M_alt 'P 6/m m m'
_space_group_IT_number 191
_space_group_name_Hall '-P 6 2'
loop_
_atom_site_label
_atom_site_fract_x
_atom_site_fract_y
_atom_site_fract_z
Li1 0.0000 0.0000 0.0000
Si1 0.0000 0.0000 0.5000
Si2 0.3333 0.6667 0.1911
Os1 0.0000 0.5000 0.5000

---

What is the formula in the first record?
Li4Si2Os